# PrAsO4 PBE-GGA relaxed
# Total magnetization (μB/f.u.): 0.0
# Raw formation energy (eV/atom): -2.309
# Fermi-level density of states (states/eV per cell): 0.000
# Final energy (eV per cell): -86.23
# SG: I4_1/a, No. 88
data_PrAsO4
_chemical_formula_sum 'Pr2 As2 O8'
_cell_length_a 6.9680
_cell_length_b 6.9680
_cell_length_c 6.9680
_cell_angle_alpha 136.20
_cell_angle_beta 136.20
_cell_angle_gamma 63.68
_symmetry_space_group_name_H-M 'P 1'
_symmetry_Int_Tables_number 1
loop_
_symmetry_equiv_pos_as_xyz
'x,y,z'
loop_
_atom_site_label
_atom_site_fract_x
_atom_site_fract_y
_atom_site_fract_z
Pr1 0.0000 0.0000 0.0000
As1 0.5000 0.5000 0.0000
O1 0.0370 0.4254 0.1170
O2 0.7130 0.8246 0.3830
O3 0.3084 0.9200 0.8830
O4 0.1754 0.5584 0.8884
O5 0.0800 0.9630 0.3884
O6 0.4416 0.3300 0.6170
Pr2 0.7500 0.2500 0.5000
O7 0.6700 0.2870 0.1116
O8 0.5746 0.6916 0.6116
As2 0.2500 0.7500 0.5000

---

# PrAsO PBE-GGA relaxed
# Total magnetization (μB/f.u.): 0.0
# Raw formation energy (eV/atom): -2.040
# Fermi-level density of states (states/eV per cell): 2.967
# Final energy (eV per cell): -41.02
# SG: Immm, No. 71
data_PrAsO
_chemical_formula_sum 'Pr2 As2 O2'
_cell_length_a 4.0089
_cell_length_b 4.7670
_cell_length_c 7.4491
_cell_angle_alpha 108.66
_cell_angle_beta 105.61
_cell_angle_gamma 90.00
_symmetry_space_group_name_H-M 'P 1'
_symmetry_Int_Tables_number 1
loop_
_symmetry_equiv_pos_as_xyz
'x,y,z'
loop_
_atom_site_label
_atom_site_fract_x
_atom_site_fract_y
_atom_site_fract_z
O1 0.2369 0.2369 0.4738
O2 0.7631 0.7631 0.5262
As1 0.5000 0.7528 0.0000
Pr1 0.1725 0.6725 0.3450
As2 0.5000 0.2472 0.0000
Pr2 0.8275 0.3275 0.6550

---

# Pr3As2O2 PBE-GGA relaxed
# Total magnetization (μB/f.u.): 0.0
# Raw formation energy (eV/atom): -2.110
# Fermi-level density of states (states/eV per cell): 3.065
# Final energy (eV per cell): -48.32
# SG: C2/m, No. 12
data_Pr3As2O2
_chemical_formula_sum 'Pr3 As2 O2'
_cell_length_a 4.1285
_cell_length_b 7.0734
_cell_length_c 6.6522
_cell_angle_alpha 110.11
_cell_angle_beta 108.08
_cell_angle_gamma 90.00
_symmetry_space_group_name_H-M 'P 1'
_symmetry_Int_Tables_number 1
loop_
_symmetry_equiv_pos_as_xyz
'x,y,z'
loop_
_atom_site_label
_atom_site_fract_x
_atom_site_fract_y
_atom_site_fract_z
Pr1 0.0000 0.5000 0.0000
As1 0.3822 0.1948 0.7645
As2 0.6178 0.8052 0.2355
O1 0.8379 0.5974 0.6758
Pr2 0.6861 0.2657 0.3723
O2 0.1621 0.4026 0.3242
Pr3 0.3139 0.7343 0.6277